The following is a DFT calculation (PBE) of Tb5Pm6Tl after structural relaxation.

Calculated values
**DOS(E_F)**: 1.30 states/eV/atom
**Total magnetic moment**: 0.0 μB per cell
**ΔH_f (0 K)**: -3 kJ per mole of atoms

a = 5.030 Å, b = 10.056 Å, c = 15.292 Å
α = 90.00°, β = 90.00°, γ = 90.00°
Space group Immm (No. 71)
One atom of each set of equivalent atoms:
Tb 0.000 0.000 0.000 x2
Tb 0.000 0.000 0.331 x4
Tb 0.000 0.500 0.336 x4
Pm 0.000 0.245 0.500 x4
Pm 0.000 0.254 0.165 x8
Tl 0.000 0.500 0.000 x2

=====

The following is a DFT calculation (PBE) of LiAu2Cl after structural relaxation.

Calculated values
**DOS(E_F)**: 0.28 states/eV/atom
**Total magnetic moment**: 0.0 μB per cell
**Formation energy without anion corrections**: -13 kJ/mol of atoms
**Offset from the most stable computed form**: 0.435 eV/atom

a = 3.787 Å, b = 4.086 Å, c = 9.828 Å
α = 90.00°, β = 90.00°, γ = 90.00°
Space group Cmmm (No. 65)
One atom of each set of equivalent atoms:
Li 0.000 0.000 0.000 x2
Au 0.000 0.500 0.196 x4
Cl 0.000 0.000 0.500 x2

=====

Q: Among the records above, which one has the lowest DOS(E_F)?
A: LiAu2Cl